Entry 1:
4
Lattice="-3.1149 -0.5840 -2.9477 0.9120 -1.9495 -3.7550 -1.5084 -3.9780 -0.7954" Properties=species:S:1:pos:R:3 comment="MnFeTcSb (PBE-GGA, relaxed)" dft_energy_ev_per_atom=-7.9472 raw_formation_energy_kcal_per_mol_atoms=1.9 magmom_total_mub_per_fu=3.02 pbc="T T T"
Sb -0.9278 -1.6279 -1.8745
Mn -2.7834 -4.8836 -5.6236
Tc 0.0000 0.0000 0.0000
Fe -1.8556 -3.2557 -3.7491

***

Entry 2:
5
Lattice="-4.4634 -1.5216 1.5593 0.9972 -4.5874 -1.6218 1.8512 -1.0936 4.2317" Properties=species:S:1:pos:R:3 comment="MnFeSbTe2 (PBE-GGA, relaxed)" dft_energy_ev_per_atom=-4.9348 raw_formation_energy_kcal_per_mol_atoms=15.5 magmom_total_mub_per_fu=2.68 pbc="T T T"
Sb 0.9256 -0.5468 2.1159
Te 0.4986 -2.2937 -0.8109
Te -2.2317 -0.7608 0.7797
Fe 0.0000 0.0000 0.0000
Mn -0.8075 -3.6013 2.0846

***

Entry 3:
5
Lattice="-1.0837 1.6501 -4.5023 1.3389 -4.3281 -1.9085 -4.7693 -1.7059 0.5228" Properties=species:S:1:pos:R:3 comment="MnFeSb2Te (PBE-GGA, relaxed)" dft_energy_ev_per_atom=-4.8928 raw_formation_energy_kcal_per_mol_atoms=21.0 magmom_total_mub_per_fu=3.29 pbc="T T T"
Sb 0.6695 -2.1641 -0.9543
Sb -0.5418 0.8250 -2.2512
Te -2.3846 -0.8529 0.2614
Fe -2.2570 -2.1920 -2.9440
Mn 0.0000 0.0000 0.0000

***

Entry 4:
5
Lattice="4.8724 0.0000 0.0000 0.0000 4.8724 0.0000 0.0000 0.0000 5.1647" Properties=species:S:1:pos:R:3 comment="MnFeSb2Te (PBE-GGA, relaxed)" dft_energy_ev_per_atom=-4.6688 raw_formation_energy_kcal_per_mol_atoms=26.2 magmom_total_mub_per_fu=0.57 pbc="T T T"
Sb 0.0000 2.4362 0.0000
Sb 2.4362 0.0000 0.0000
Te 0.0000 0.0000 2.5824
Fe 0.0000 0.0000 0.0000
Mn 2.4362 2.4362 2.5824

***

Entry 5:
5
Lattice="5.2086 0.0000 0.0000 0.0000 5.2086 0.0000 0.0000 0.0000 5.0251" Properties=species:S:1:pos:R:3 comment="MnFeSbTe2 (PBE-GGA, relaxed)" dft_energy_ev_per_atom=-4.7893 raw_formation_energy_kcal_per_mol_atoms=18.9 magmom_total_mub_per_fu=6.45 pbc="T T T"
Sb 0.0000 0.0000 2.5126
Te 0.0000 2.6043 0.0000
Te 2.6043 0.0000 0.0000
Fe 2.6043 2.6043 2.5126
Mn 0.0000 0.0000 0.0000

***

Entry 6:
4
Lattice="4.2259 0.0000 0.0000 2.1130 3.6598 0.0000 2.1130 1.2199 3.4505" Properties=species:S:1:pos:R:3 comment="MnVFeSb (PBE-GGA, relaxed)" dft_energy_ev_per_atom=-7.6873 raw_formation_energy_kcal_per_mol_atoms=0.7 magmom_total_mub_per_fu=0.99 pbc="T T T"
Sb 6.3389 3.6598 2.5878
Mn 0.0000 0.0000 0.0000
Fe 4.2259 2.4398 1.7252
V 2.1130 1.2199 0.8626